Entry 1:
DFT (PBE) results for SrHf3Te after structural relaxation.

```
5
Lattice="5.213 0.000 0.000 0.000 5.213 0.000 0.000 0.000 5.213" Properties=species:S:1:pos:R:3 pbc="T T T"
Te 2.607 2.607 2.607
Hf 0.000 0.000 2.607
Hf 2.607 0.000 0.000
Hf 0.000 2.607 0.000
Sr 0.000 0.000 0.000
```

Excess energy over the best structure of this formula in the dataset   1331.6 meV per atom
Space-group type   Pm-3m, No. 221
Calculated total energy   -4.9926 eV/atom
N(E_F)   1.806 states/eV per atom

***

Entry 2:
DFT (PBE) results for Sr2NiSb after structural relaxation.

```
4
Lattice="-2.209 -4.706 1.161 2.902 -3.796 2.353 -0.949 -1.318 5.073" Properties=species:S:1:pos:R:3 pbc="T T T"
Sb -0.192 -7.365 6.440
Ni -0.128 -4.910 4.293
Sr -0.064 -2.455 2.147
Sr 0.000 0.000 0.000
```

Space-group type   F-43m, No. 216
Calculated total energy   -3.3421 eV/atom
N(E_F)   0.939 states/eV per atom